Entry 1:
First-principles (PBE-GGA) data for a geometry-optimized PaSbAu2 structure, as listed in Alexandria.

a b c (Å): 7.1016 7.1016 7.1016
angles (deg): 90.00 90.00 90.00
Space group Fm-3m (No. 225)
Symmetry-distinct sites (fractional):
Pa (0.0000, 0.0000, 0.0000) (multiplicity 4)
Sb (0.0000, 0.0000, 0.5000) (multiplicity 4)
Au (0.2500, 0.2500, 0.2500) (multiplicity 8)

For the density of states at the Fermi level, the calculation gives 11.20 states/eV/cell. The calculation puts the formation energy from raw total energies at -1.4 eV/f.u.

=====

Entry 2:
First-principles (PBE-GGA) data for a geometry-optimized SmErCuPt structure, as listed in Alexandria.

a b c (Å): 4.4283 3.8009 10.6566
angles (deg): 90.00 90.00 90.00
Space group Amm2 (No. 38)
Symmetry-distinct sites (fractional):
Sm (0.0000, 0.0000, 0.0000) (multiplicity 2)
Er (0.5000, 0.0000, 0.7225) (multiplicity 2)
Cu (0.5000, 0.0000, 0.4361) (multiplicity 2)
Pt (0.0000, 0.0000, 0.2799) (multiplicity 2)

The calculation puts the energy relative to the elements at -3.1 eV/f.u. For the density of states at the Fermi level, the calculation gives 5.47 states/eV/cell.

=====

Entry 3:
First-principles (PBE-GGA) data for a geometry-optimized Ca2NdUS6 structure, as listed in Alexandria.

a b c (Å): 7.0385 7.0385 18.6537
angles (deg): 90.00 90.00 120.00
Space group R3 (No. 146, hexagonal axes)
Symmetry-distinct sites (fractional):
Ca (0.0000, 0.0000, 0.0000) (multiplicity 3)
Ca (0.0000, 0.0000, 0.4929) (multiplicity 3)
Nd (0.0000, 0.0000, 0.2031) (multiplicity 3)
U (0.0000, 0.0000, 0.6955) (multiplicity 3)
S (0.0432, 0.3391, 0.7689) (multiplicity 9)
S (0.0490, 0.6755, 0.2723) (multiplicity 9)

For the density of states at the Fermi level, the calculation gives 0.36 states/eV/cell. The calculation puts the formation energy from raw total energies at -17.7 eV/f.u.

=====

Entry 4:
First-principles (PBE-GGA) data for a geometry-optimized NaIn2GaPt structure, as listed in Alexandria.

a b c (Å): 5.2986 5.2986 4.8684
angles (deg): 90.00 90.00 90.00
Space group P4/mmm (No. 123)
Symmetry-distinct sites (fractional):
Na (0.0000, 0.0000, 0.0000) (multiplicity 1)
In (0.0000, 0.5000, 0.5000) (multiplicity 2)
Ga (0.5000, 0.5000, 0.0000) (multiplicity 1)
Pt (0.5000, 0.5000, 0.5000) (multiplicity 1)

The calculation puts the energy relative to the elements at -0.9 eV/f.u. For the density of states at the Fermi level, the calculation gives 2.43 states/eV/cell.

=====

Number 1: spin magnetization 0.000 μB per atom, total DFT energy (no corrections) -5.40 eV per atom. Number 2: spin magnetization 0.000 μB per atom, total DFT energy (no corrections) -5.63 eV per atom. Number 3: spin magnetization 0.100 μB per atom, total DFT energy (no corrections) -6.25 eV per atom. Number 4: spin magnetization 0.000 μB per atom, total DFT energy (no corrections) -3.36 eV per atom.